Entry 1:
# SmThMgPb

SmThMgPb after structural relaxation (GGA-PBE, the Alexandria database).

Geometry as extended XYZ:
```
4
Lattice="-4.737 1.984 -1.965 -4.607 -2.972 0.413 -3.975 1.558 3.464" Properties=species:S:1:pos:R:3 pbc="T T T"
Pb 0.000 0.000 0.000
Mg -6.660 0.285 0.956
Sm -9.990 0.427 1.434
Th -3.330 0.142 0.478
```

Calculated values
space group = No. 216
formation energy = -0.14 eV/atom


Entry 2:
# Tb2Y2Tm

Tb2Y2Tm after structural relaxation (GGA-PBE, the Alexandria database).

Geometry as extended XYZ:
```
10
Lattice="9.236 0.000 0.000 0.000 9.236 0.000 0.000 0.000 3.754" Properties=species:S:1:pos:R:3 pbc="T T T"
Tb 1.191 5.809 0.000
Tb 5.809 8.045 0.000
Tb 8.045 3.427 0.000
Tb 3.427 1.191 0.000
Y 3.045 7.663 1.877
Y 7.663 6.190 1.877
Y 6.190 1.573 1.877
Y 1.573 3.045 1.877
Tm 0.000 0.000 0.000
Tm 4.618 4.618 0.000
```

Calculated values
E above lowest polymorph = 92 meV/atom
space group = No. 127
formation energy = 0.10 eV/atom


Entry 3:
# Sb2TePd2

Sb2TePd2 after structural relaxation (GGA-PBE, the Alexandria database).

Geometry as extended XYZ:
```
10
Lattice="-5.167 -4.578 4.849 -2.288 -4.545 -6.729 2.340 -2.031 0.576" Properties=species:S:1:pos:R:3 pbc="T T T"
Sb -3.639 -5.326 -3.994
Sb -5.835 -6.845 -0.430
Sb -3.816 -3.797 2.114
Sb -1.620 -2.278 -1.451
Te 0.000 0.000 0.000
Te -3.727 -4.561 -0.940
Pd -0.856 -4.368 -3.299
Pd -4.042 -7.853 -2.646
Pd -4.258 -6.786 1.995
Pd -1.072 -3.301 1.342
```

Calculated values
E above lowest polymorph = 94 meV/atom
E_form (uncorrected) = -0.076 eV/atom
space group = No. 127


Entry 4:
# NaPrSe2

NaPrSe2 after structural relaxation (GGA-PBE, the Alexandria database).

Geometry as extended XYZ:
```
4
Lattice="-2.162 0.122 -3.689 -0.203 -3.482 -2.477 -6.884 -3.255 1.446" Properties=species:S:1:pos:R:3 pbc="T T T"
Na -4.695 -3.332 -2.319
Pr -8.438 -5.486 -2.677
Se -5.450 -2.753 0.622
Se -2.174 -1.605 -1.259
```

Calculated values
E above lowest polymorph = 41 meV/atom
E_form (uncorrected) = -1.636 eV/atom
space group = No. 160


Entry 5:
# Cu2Re

Cu2Re after structural relaxation (GGA-PBE, the Alexandria database).

Geometry as extended XYZ:
```
6
Lattice="-2.526 -2.102 -4.024 -0.118 -3.028 -4.221 -1.943 -5.525 2.204" Properties=species:S:1:pos:R:3 pbc="T T T"
Cu -2.199 -5.756 0.161
Cu -2.389 -4.900 -6.202
Cu -1.293 -3.344 -0.094
Cu -3.295 -7.311 -5.947
Re -1.741 -3.702 -3.900
Re -2.847 -6.954 -2.141
```

Calculated values
E above lowest polymorph = 79 meV/atom
space group = No. 12
formation energy = 0.27 eV/atom


Entry 6:
# Tb7Sm12Tm

Tb7Sm12Tm after structural relaxation (GGA-PBE, the Alexandria database).

Geometry as extended XYZ:
```
20
Lattice="6.058 0.000 -1.247 -3.158 9.786 -5.119 0.259 0.000 11.484" Properties=species:S:1:pos:R:3 pbc="T T T"
Tb -1.623 7.391 -4.014
Tb 5.362 0.007 1.724
Tb 1.626 7.384 4.026
Tb 3.029 0.000 -0.623
Tb 1.533 2.402 1.092
Tb -2.204 9.779 3.394
Tb 4.782 2.395 9.133
Sm -1.281 5.740 -1.114
Sm 0.130 1.702 5.747
Sm 1.519 6.324 -4.034
Sm 2.592 0.005 3.551
Sm 1.875 4.038 4.000
Sm -1.517 6.319 4.043
Sm 4.675 3.467 1.075
Sm 1.283 5.748 1.118
Sm 0.566 9.781 1.567
Sm 1.640 3.462 9.153
Sm 3.029 8.085 -0.628
Sm 4.439 4.047 6.232
Tm 0.000 0.000 0.000
```

Calculated values
E above lowest polymorph = 0 meV/atom
space group = No. 148
formation energy = 0.24 eV/atom


Entry 7:
# Rb2HfI

Rb2HfI after structural relaxation (GGA-PBE, the Alexandria database).

Geometry as extended XYZ:
```
4
Lattice="0.755 -3.565 5.412 -3.465 1.411 5.346 -4.761 -4.011 1.955" Properties=species:S:1:pos:R:3 pbc="T T T"
I 0.000 0.000 0.000
Hf -3.735 -3.083 6.357
Rb -1.868 -1.542 3.178
Rb -5.603 -4.625 9.535
```

Calculated values
E above lowest polymorph = 72 meV/atom
E_form (uncorrected) = 0.645 eV/atom
space group = No. 225


Entry 8:
# Ca2AlGe

Ca2AlGe after structural relaxation (GGA-PBE, the Alexandria database).

Geometry as extended XYZ:
```
4
Lattice="-2.492 -2.930 -2.105 2.465 -3.482 1.928 -2.960 -0.087 3.626" Properties=species:S:1:pos:R:3 pbc="T T T"
Ge -1.493 -3.249 1.725
Ca -1.480 -0.044 1.813
Ca 1.233 -1.741 0.964
Al -1.246 -1.465 -1.052
```

Calculated values
space group = No. 123
formation energy = -0.34 eV/atom


Entry 9:
# La3Si2Ge2

La3Si2Ge2 after structural relaxation (GGA-PBE, the Alexandria database).

Geometry as extended XYZ:
```
7
Lattice="4.241 0.000 0.000 -2.121 5.021 -2.511 0.000 -0.303 8.356" Properties=species:S:1:pos:R:3 pbc="T T T"
La 0.000 3.209 1.373
La 2.121 1.509 4.472
La 2.121 0.000 0.000
Si 2.121 3.013 -0.910
Si 0.000 1.705 6.755
Ge 2.121 4.424 3.463
Ge 0.000 0.294 2.382
```

Calculated values
E_form (uncorrected) = -0.779 eV/atom
space group = No. 12


Number 1: uncorrected energy -18.01 eV/cell. Number 2: uncorrected energy -52.32 eV/cell. Number 3: uncorrected energy -44.30 eV/cell. Number 4: uncorrected energy -19.61 eV/cell. Number 5: uncorrected energy -39.68 eV/cell. Number 6: uncorrected energy -88.63 eV/cell. Number 7: uncorrected energy -10.86 eV/cell. Number 8: uncorrected energy -13.73 eV/cell. Number 9: uncorrected energy -40.32 eV/cell.